YFe2H: optimized geometry, PBE-GGA.

Lattice parameters (Å, degrees): 6.1021 6.1021 6.1021 90.00 90.00 90.00
With the nearest neighbours (Å) after each atom.
Space group Fm-3m (No. 225)
Asymmetric unit:
Y  0.0000  0.0000  0.0000 x4  8 Fe 2.64
Fe  0.2500  0.2500  0.2500 x8  4 H 2.64, 4 Y 2.64
H  0.0000  0.0000  0.5000 x4  8 Fe 2.64

Offset from the most stable computed form (meV per atom): 1131
Size of the total moment (μB per cell): 14.748

=====

YFe2H: optimized geometry, PBE-GGA.

Lattice parameters (Å, degrees): 7.5253 7.5253 7.5253 90.00 90.00 90.00
With the nearest neighbours (Å) after each atom.
Space group Fd-3m (No. 227, origin choice 2)
Asymmetric unit:
Y  0.1250  0.1250  0.1250 x8  12 Fe 3.12, 4 H 3.26, 4 Y 3.26
Fe  0.0000  0.0000  0.5000 x16  2 H 1.63
H  0.1250  0.1250  0.6250 x8  4 Fe 1.63

Offset from the most stable computed form (meV per atom): 0
Size of the total moment (μB per cell): 25.190

=====

Y2ZnFeH: optimized geometry, PBE-GGA.

Lattice parameters (Å, degrees): 4.8931 4.8931 3.5912 90.00 90.00 90.00
With the nearest neighbours (Å) after each atom.
Space group P4/mmm (No. 123)
Asymmetric unit:
Y  0.0000  0.5000  0.0000 x2  2 H 2.45
Zn  0.0000  0.0000  0.5000 x1  8 Y 3.03
Fe  0.5000  0.5000  0.5000 x1  2 H 1.80
H  0.5000  0.5000  0.0000 x1  2 Fe 1.80

Size of the total moment (μB per cell): 1.389

=====

YZnFe2H8: optimized geometry, PBE-GGA.

Lattice parameters (Å, degrees): 4.4535 4.4535 6.3500 90.00 90.00 120.00
With the nearest neighbours (Å) after each atom.
Space group P-3m1 (No. 164)
Asymmetric unit:
Y  0.0000  0.0000  0.0000 x1  6 H 2.11
Zn  0.0000  0.0000  0.5000 x1  6 H 1.79
Fe  0.3333  0.6667  0.3374 x2  4 H 1.49-1.57
H  0.1458  0.2915  0.2807 x6  1 Fe 1.49
H  0.3333  0.6667  0.0909 x2  1 Fe 1.57

Size of the total moment (μB per cell): 0.002

=====

no.,raw total energy (eV/atom)
1,-5.65
2,-6.78
3,-5.42
4,-4.13